Entry A
A geometry-optimized RbBe2Tl2 structure, computed with PBE.

```
RbBe2Tl2
1.0
-4.001 -4.764 -6.233
7.448 -0.110 -4.697
0.877 -2.637 1.452
Tl Be Rb
4 4 2
Direct
0.640 0.140 0.000 Tl
0.860 0.640 0.000 Tl
0.360 0.860 0.000 Tl
0.140 0.360 0.000 Tl
0.863 0.363 0.500 Be
0.137 0.637 0.500 Be
0.363 0.137 0.500 Be
0.637 0.863 0.500 Be
0.500 0.500 0.000 Rb
0.000 0.000 0.000 Rb
```

Results
Calculated volume   24.32 A^3/atom
Magnetic moment   0.000 μB/atom
DOS(E_F)   4.82 states/eV per cell

***

Entry B
A geometry-optimized RbBe2Tl2 structure, computed with PBE.

```
RbBe2Tl2
1.0
4.563 0.000 0.000
0.000 4.563 0.000
2.282 2.282 6.222
Be Tl Rb
2 2 1
Direct
0.750 0.250 0.500 Be
0.250 0.750 0.500 Be
0.657 0.657 0.686 Tl
0.343 0.343 0.314 Tl
0.000 0.000 0.000 Rb
```

Results
Calculated volume   25.91 A^3/atom
Magnetic moment   0.000 μB/atom
DOS(E_F)   2.00 states/eV per cell

***

Each structure's energy above the most stable one, in meV/atom: entry A 241; entry B 0.

***

Entry A
A geometry-optimized RbBeTl2 structure, computed with PBE.

```
RbBeTl2
1.0
6.836 0.000 0.000
0.000 6.836 0.000
3.418 3.418 6.728
Be Tl Rb
2 4 2
Direct
0.250 0.750 0.500 Be
0.500 0.500 0.000 Be
0.375 0.125 0.250 Tl
0.875 0.625 0.750 Tl
0.375 0.625 0.250 Tl
0.375 0.625 0.750 Tl
0.750 0.250 0.500 Rb
0.000 0.000 0.000 Rb
```

Results
Calculated volume   39.30 A^3/atom
Magnetic moment   0.000 μB/atom
DOS(E_F)   3.65 states/eV per cell

***

Entry B
A geometry-optimized RbBeTl2 structure, computed with PBE.

```
RbBeTl2
1.0
2.541 -4.734 1.118
0.966 -1.432 5.209
-2.792 -4.144 2.270
Rb Tl Be
1 2 1
Direct
0.500 0.500 0.500 Rb
0.750 0.750 0.750 Tl
0.250 0.250 0.250 Tl
0.000 0.000 0.000 Be
```

Results
Calculated volume   29.22 A^3/atom
Magnetic moment   0.000 μB/atom
DOS(E_F)   3.98 states/eV per cell

***

Each structure's energy above the most stable one, in meV/atom: entry A 0; entry B 278.

***

Entry A
A geometry-optimized RbBeV structure, computed with PBE.

```
RbBeV
1.0
4.417 -2.550 0.000
0.000 5.100 0.000
0.000 0.000 7.813
Rb V Be
2 2 2
Direct
0.667 0.333 0.000 Rb
0.667 0.333 0.500 Rb
0.000 0.000 0.618 V
0.000 0.000 0.382 V
0.333 0.667 0.361 Be
0.333 0.667 0.639 Be
```

Results
Calculated volume   29.34 A^3/atom
Magnetic moment   0.000 μB/atom
DOS(E_F)   4.65 states/eV per cell

***

Entry B
A geometry-optimized RbBeV structure, computed with PBE.

```
RbBeV
1.0
-2.873 2.300 0.678
-0.026 -0.961 3.149
9.213 8.391 0.970
Be V Rb
2 2 2
Direct
0.204 0.375 0.981 Be
0.151 0.819 0.867 Be
0.711 0.881 0.995 V
0.644 0.313 0.853 V
0.022 0.198 0.607 Rb
0.337 0.003 0.241 Rb
```

Results
Calculated volume   25.20 A^3/atom
Magnetic moment   0.000 μB/atom
DOS(E_F)   4.63 states/eV per cell

***

Entry C
A geometry-optimized RbBeV structure, computed with PBE.

```
RbBeV
1.0
-1.969 -2.652 -1.461
2.739 -0.820 -2.200
2.999 -7.346 9.526
V Rb Be
2 2 2
Direct
0.196 0.890 0.866 V
0.696 0.391 0.867 V
0.686 0.762 0.593 Rb
0.201 0.067 0.239 Rb
0.200 0.454 0.990 Be
0.699 0.955 0.990 Be
```

Results
Calculated volume   26.61 A^3/atom
Magnetic moment   0.000 μB/atom
DOS(E_F)   3.27 states/eV per cell

***

Each structure's energy above the most stable one, in meV/atom: entry A 906; entry B 0; entry C 58.

***

Entry A
A geometry-optimized RbBeV structure, computed with PBE.

```
RbBeV
1.0
4.559 -2.632 0.000
0.000 5.265 0.000
0.000 0.000 5.981
Rb V Be
2 2 2
Direct
0.000 0.000 0.249 Rb
0.000 0.000 0.749 Rb
0.333 0.667 0.501 V
0.667 0.333 0.001 V
0.333 0.667 0.000 Be
0.667 0.333 0.500 Be
```

Results
Calculated volume   23.92 A^3/atom
Magnetic moment   1.254 μB/atom
DOS(E_F)   9.98 states/eV per cell

***

Entry B
A geometry-optimized RbBeV structure, computed with PBE.

```
RbBeV
1.0
-0.434 3.541 -2.592
-3.970 -1.427 -1.285
-4.165 4.912 7.409
Be Rb V
2 2 2
Direct
0.000 0.000 0.500 Be
0.500 0.500 0.500 Be
0.000 0.500 0.206 Rb
0.500 0.000 0.794 Rb
0.000 0.500 0.554 V
0.500 0.000 0.446 V
```

Results
Calculated volume   31.82 A^3/atom
Magnetic moment   0.510 μB/atom
DOS(E_F)   4.01 states/eV per cell

***

Entry C
A geometry-optimized RbBeV structure, computed with PBE.

```
RbBeV
1.0
0.000 3.542 3.542
3.542 0.000 3.542
3.542 3.542 0.000
Rb V Be
1 1 1
Direct
0.250 0.250 0.250 Rb
0.750 0.750 0.750 V
0.000 0.000 0.000 Be
```

Results
Calculated volume   29.62 A^3/atom
Magnetic moment   1.375 μB/atom
DOS(E_F)   4.96 states/eV per cell

***

Entry D
A geometry-optimized RbBeV structure, computed with PBE.

```
RbBeV
1.0
-9.833 -6.982 -1.773
2.276 -3.201 0.136
1.163 -1.442 3.468
Rb V Be
2 2 2
Direct
0.638 0.876 0.034 Rb
0.001 0.068 0.629 Rb
0.402 0.279 0.217 V
0.237 0.329 0.112 V
0.320 0.637 0.498 Be
0.320 0.970 0.832 Be
```

Results
Calculated volume   26.74 A^3/atom
Magnetic moment   0.000 μB/atom
DOS(E_F)   4.36 states/eV per cell

***

Each structure's energy above the most stable one, in meV/atom: entry A 1082; entry B 414; entry C 1228; entry D 0.

***

Entry A
A geometry-optimized RbBeV structure, computed with PBE.

```
RbBeV
1.0
-1.684 2.842 3.690
0.924 4.865 -0.002
-3.672 3.218 -0.830
V Be Rb
1 1 1
Direct
0.500 0.500 0.500 V
0.750 0.750 0.750 Be
0.250 0.250 0.250 Rb
```

Results
Calculated volume   28.63 A^3/atom
Magnetic moment   1.389 μB/atom
DOS(E_F)   1.38 states/eV per cell

***

Entry B
A geometry-optimized RbBeV structure, computed with PBE.

```
RbBeV
1.0
-7.991 8.550 3.958
-2.475 -2.139 -0.376
0.146 -0.811 3.648
Be Rb V
2 2 2
Direct
0.942 0.254 0.026 Be
0.058 0.754 0.974 Be
0.318 0.265 0.842 Rb
0.682 0.765 0.158 Rb
0.071 0.254 0.467 V
0.929 0.754 0.533 V
```

Results
Calculated volume   25.12 A^3/atom
Magnetic moment   0.000 μB/atom
DOS(E_F)   4.56 states/eV per cell

***

Each structure's energy above the most stable one, in meV/atom: entry A 1356; entry B 0.

***

Entry A
A geometry-optimized RbBeV structure, computed with PBE.

```
RbBeV
1.0
-6.761 4.020 3.878
-1.881 -2.482 -0.707
2.811 -5.005 10.090
Rb V Be
4 4 4
Direct
0.443 0.750 0.327 Rb
0.057 0.250 0.827 Rb
0.943 0.750 0.173 Rb
0.557 0.250 0.673 Rb
0.578 0.250 0.038 V
0.922 0.750 0.538 V
0.078 0.250 0.462 V
0.422 0.750 0.962 V
0.299 0.250 0.076 Be
0.799 0.250 0.424 Be
0.701 0.750 0.924 Be
0.201 0.750 0.576 Be
```

Results
Calculated volume   27.09 A^3/atom
Magnetic moment   0.000 μB/atom
DOS(E_F)   12.34 states/eV per cell

***

Entry B
A geometry-optimized RbBeV structure, computed with PBE.

```
RbBeV
1.0
-0.246 10.222 3.339
-4.050 -0.377 1.142
1.225 -0.397 4.215
Be Rb V
2 2 2
Direct
0.185 0.097 0.322 Be
0.185 0.597 0.322 Be
0.479 0.366 0.175 Rb
0.891 0.831 0.469 Rb
0.150 0.307 0.839 V
0.220 0.887 0.804 V
```

Results
Calculated volume   32.67 A^3/atom
Magnetic moment   0.000 μB/atom
DOS(E_F)   3.72 states/eV per cell

***

Entry C
A geometry-optimized RbBeV structure, computed with PBE.

```
RbBeV
1.0
7.360 0.000 0.007
0.000 3.921 0.000
3.542 0.000 6.304
Be Rb V
2 2 2
Direct
0.940 0.000 0.148 Be
0.795 0.500 0.215 Be
0.364 0.000 0.440 Rb
0.702 0.000 0.774 Rb
0.118 0.500 0.194 V
0.130 0.500 0.932 V
```

Results
Calculated volume   30.30 A^3/atom
Magnetic moment   0.000 μB/atom
DOS(E_F)   3.80 states/eV per cell

***

Each structure's energy above the most stable one, in meV/atom: entry A 367; entry B 0; entry C 317.

***

Entry A
A geometry-optimized RbBeV structure, computed with PBE.

```
RbBeV
1.0
4.422 0.000 -0.004
2.191 4.028 0.000
0.916 -0.396 11.005
Be Rb V
2 2 2
Direct
0.229 0.558 0.884 Be
0.738 0.543 0.885 Be
0.256 0.027 0.642 Rb
0.978 0.599 0.224 Rb
0.680 0.061 0.953 V
0.253 0.054 0.956 V
```

Results
Calculated volume   32.67 A^3/atom
Magnetic moment   0.000 μB/atom
DOS(E_F)   4.09 states/eV per cell

***

Entry B
A geometry-optimized RbBeV structure, computed with PBE.

```
RbBeV
1.0
-2.275 -0.412 3.527
4.208 -0.225 0.167
0.548 11.506 1.698
V Be Rb
2 2 2
Direct
0.333 0.667 0.750 V
0.667 0.333 0.250 V
0.667 0.333 0.750 Be
0.333 0.667 0.250 Be
0.000 0.000 0.000 Rb
0.000 0.000 0.500 Rb
```

Results
Calculated volume   29.89 A^3/atom
Magnetic moment   1.342 μB/atom
DOS(E_F)   8.43 states/eV per cell

***

Entry C
A geometry-optimized RbBeV structure, computed with PBE.

```
RbBeV
1.0
-10.732 -2.634 5.941
8.683 1.248 -8.977
2.786 -2.197 1.640
Be Rb V
2 2 2
Direct
0.907 0.225 0.974 Be
0.572 0.893 0.307 Be
0.600 0.237 0.682 Rb
0.879 0.880 0.597 Rb
0.320 0.556 0.717 V
0.159 0.562 0.564 V
```

Results
Calculated volume   26.52 A^3/atom
Magnetic moment   0.000 μB/atom
DOS(E_F)   4.12 states/eV per cell

***

Each structure's energy above the most stable one, in meV/atom: entry A 91; entry B 823; entry C 0.

***

Entry A
A geometry-optimized RbBeV structure, computed with PBE.

```
RbBeV
1.0
-1.473 8.380 6.407
-6.089 2.938 1.182
-4.594 -5.015 -0.923
V Be Rb
2 2 2
Direct
0.812 0.338 0.765 V
0.188 0.765 0.338 V
0.295 0.969 0.313 Be
0.705 0.313 0.969 Be
0.500 0.253 0.253 Rb
0.000 0.406 0.406 Rb
```

Results
Calculated volume   30.79 A^3/atom
Magnetic moment   0.000 μB/atom
DOS(E_F)   6.62 states/eV per cell

***

Entry B
A geometry-optimized RbBeV structure, computed with PBE.

```
RbBeV
1.0
-0.691 3.665 -1.974
-0.429 -0.254 4.190
5.610 1.414 0.660
V Be Rb
1 1 1
Direct
0.333 0.667 0.000 V
0.000 0.000 0.000 Be
0.667 0.333 0.500 Rb
```

Results
Calculated volume   29.93 A^3/atom
Magnetic moment   1.340 μB/atom
DOS(E_F)   4.30 states/eV per cell

***

Each structure's energy above the most stable one, in meV/atom: entry A 0; entry B 378.

***

Entry A
A geometry-optimized RbBeV structure, computed with PBE.

```
RbBeV
1.0
-2.098 -2.962 -1.786
1.914 -2.749 -2.275
2.077 -8.252 8.256
V Rb Be
2 2 2
Direct
0.970 0.557 0.924 V
0.636 0.225 0.924 V
0.599 0.098 0.230 Rb
0.668 0.358 0.618 Rb
0.293 0.855 0.010 Be
0.313 0.928 0.838 Be
```

Results
Calculated volume   27.63 A^3/atom
Magnetic moment   0.000 μB/atom
DOS(E_F)   4.05 states/eV per cell

***

Entry B
A geometry-optimized RbBeV structure, computed with PBE.

```
RbBeV
1.0
10.926 0.000 -0.019
0.000 4.059 0.000
0.356 0.000 4.379
Be V Rb
2 2 2
Direct
0.954 0.500 0.907 Be
0.974 0.500 0.404 Be
0.892 0.000 0.637 V
0.897 0.000 0.199 V
0.624 0.500 0.242 Rb
0.204 0.000 0.834 Rb
```

Results
Calculated volume   32.37 A^3/atom
Magnetic moment   0.000 μB/atom
DOS(E_F)   3.76 states/eV per cell

***

Entry C
A geometry-optimized RbBeV structure, computed with PBE.

```
RbBeV
1.0
-0.782 6.722 -1.825
-1.058 -0.041 -4.173
-5.700 1.636 4.111
V Rb Be
2 2 2
Direct
0.278 0.087 0.835 V
0.338 0.499 0.893 V
0.508 0.159 0.293 Rb
0.880 0.646 0.664 Rb
0.057 0.056 0.116 Be
0.047 0.568 0.130 Be
```

Results
Calculated volume   31.25 A^3/atom
Magnetic moment   0.000 μB/atom
DOS(E_F)   4.76 states/eV per cell

***

Each structure's energy above the most stable one, in meV/atom: entry A 0; entry B 92; entry C 434.

***

Entry A
A geometry-optimized RbBe3V structure, computed with PBE.

```
RbBe3V
1.0
4.818 0.000 0.000
0.000 4.818 0.000
0.000 0.000 4.818
Rb Be V
1 3 1
Direct
0.500 0.500 0.500 Rb
0.000 0.500 0.000 Be
0.500 0.000 0.000 Be
0.000 0.000 0.500 Be
0.000 0.000 0.000 V
```

Results
Calculated volume   22.37 A^3/atom
Magnetic moment   0.865 μB/atom
DOS(E_F)   2.63 states/eV per cell

***

Entry B
A geometry-optimized RbBe3V structure, computed with PBE.

```
RbBe3V
1.0
-1.458 -0.765 4.553
-3.539 -2.882 -1.617
2.966 -3.815 0.308
Be Rb V
3 1 1
Direct
0.500 0.000 0.000 Be
0.000 0.000 0.500 Be
0.000 0.500 0.000 Be
0.000 0.000 0.000 Rb
0.500 0.500 0.500 V
```

Results
Calculated volume   22.70 A^3/atom
Magnetic moment   0.562 μB/atom
DOS(E_F)   7.08 states/eV per cell

***

Each structure's energy above the most stable one, in meV/atom: entry A 0; entry B 1425.

***

Entry A
A geometry-optimized RbBe3W structure, computed with PBE.

```
RbBe3W
1.0
-1.935 -2.964 2.493
-1.067 -2.271 -3.528
3.723 -2.191 0.285
Rb Be W
1 3 1
Direct
0.000 0.000 0.000 Rb
0.000 0.000 0.500 Be
0.000 0.500 0.000 Be
0.500 0.000 0.000 Be
0.500 0.500 0.500 W
```

Results
Calculated volume   16.23 A^3/atom
Magnetic moment   0.000 μB/atom
DOS(E_F)   3.48 states/eV per cell

***

Entry B
A geometry-optimized RbBe3W structure, computed with PBE.

```
RbBe3W
1.0
-0.989 -3.802 -2.634
4.522 -0.231 -1.365
0.969 -2.804 3.684
Rb W Be
1 1 3
Direct
0.500 0.500 0.500 Rb
0.000 0.000 0.000 W
0.500 0.000 0.000 Be
0.000 0.500 0.000 Be
0.000 0.000 0.500 Be
```

Results
Calculated volume   21.16 A^3/atom
Magnetic moment   0.000 μB/atom
DOS(E_F)   5.68 states/eV per cell

***

Each structure's energy above the most stable one, in meV/atom: entry A 1610; entry B 0.